KTbSnSe3 (PBE, relaxed); raw total energy = -4.54 eV per atom; space-group type = Cmcm; total magnetization = 0.00 μB per cell; formation energy without anion corrections = -114 kJ per mole of atoms
1.0
2.069 -8.472 0.000
2.069 8.472 0.000
0.000 0.000 11.862
K Tb Sn Se
2 2 2 6
Direct
0.176 0.824 0.750
0.824 0.176 0.250
0.500 0.500 0.000
0.500 0.500 0.500
0.118 0.882 0.250
0.882 0.118 0.750
0.116 0.884 0.004
0.116 0.884 0.496
0.492 0.508 0.750
0.508 0.492 0.250
0.884 0.116 0.504
0.884 0.116 0.996

***

K3Tb2SnSe6 (PBE, relaxed); DOS at the Fermi energy = 4.6 states/eV/f.u.; raw total energy = -4.53 eV per atom; space-group type = C2/m; total magnetization = 0.00 μB per cell; formation energy without anion corrections = -136 kJ per mole of atoms
1.0
3.670 -6.356 0.000
3.670 6.356 0.000
-2.445 0.000 7.679
K Tb Sn Se
3 2 1 6
Direct
0.000 0.000 0.000
0.334 0.666 0.000
0.666 0.334 0.000
0.167 0.833 0.500
0.833 0.167 0.500
0.500 0.500 0.500
0.098 0.432 0.295
0.234 0.234 0.705
0.432 0.098 0.295
0.568 0.902 0.705
0.766 0.766 0.295
0.902 0.568 0.705

***

K3Tb3SnSe8 (PBE, relaxed); DOS at the Fermi energy = 1.3 states/eV/f.u.; raw total energy = -4.73 eV per atom; space-group type = R-3m; total magnetization = 0.00 μB per cell; formation energy without anion corrections = -141 kJ per mole of atoms
1.0
4.159 2.401 7.857
-4.159 2.401 7.857
0.000 -4.803 7.857
K Tb Sn Se
3 3 1 8
Direct
0.000 0.500 0.500
0.500 0.000 0.500
0.500 0.500 0.000
0.000 0.000 0.500
0.000 0.500 0.000
0.500 0.000 0.000
0.500 0.500 0.500
0.235 0.235 0.235
0.246 0.727 0.727
0.273 0.273 0.754
0.273 0.754 0.273
0.727 0.246 0.727
0.727 0.727 0.246
0.754 0.273 0.273
0.765 0.765 0.765

***

K2TbSnSe4 (PBE, relaxed); DOS at the Fermi energy = 2.9 states/eV/f.u.; raw total energy = -4.34 eV per atom; space-group type = P2/m; total magnetization = 0.00 μB per cell; formation energy without anion corrections = -120 kJ per mole of atoms
1.0
7.378 0.000 0.000
0.000 4.197 0.000
-2.397 0.000 7.700
K Tb Sn Se
2 1 1 4
Direct
0.000 0.000 0.000
0.500 0.500 0.000
0.000 0.500 0.500
0.500 0.000 0.500
0.235 0.000 0.704
0.264 0.500 0.296
0.736 0.500 0.704
0.765 0.000 0.296

***

K2Tb2SnSe6 (PBE, relaxed); raw total energy = -4.65 eV per atom; space-group type = C2/m; total magnetization = 0.00 μB per cell; formation energy without anion corrections = -130 kJ per mole of atoms
1.0
3.574 -6.172 0.000
3.574 6.172 0.000
-2.398 0.000 7.924
K Tb Sn Se
2 2 1 6
Direct
0.169 0.831 0.000
0.831 0.169 0.000
0.332 0.668 0.500
0.668 0.332 0.500
0.000 0.000 0.500
0.069 0.390 0.701
0.248 0.248 0.303
0.390 0.069 0.701
0.610 0.931 0.299
0.752 0.752 0.697
0.931 0.610 0.299

***

K2SnTeSe (PBE, relaxed); raw total energy = -3.41 eV per atom; space-group type = P2_1/m; total magnetization = 0.00 μB per cell; formation energy without anion corrections = -82 kJ per mole of atoms
1.0
9.303 0.000 0.000
0.000 4.513 0.000
-2.093 0.000 9.633
K Sn Te Se
4 2 2 2
Direct
0.139 0.250 0.396
0.299 0.250 0.897
0.701 0.750 0.103
0.861 0.750 0.604
0.493 0.750 0.625
0.507 0.250 0.375
0.350 0.750 0.190
0.650 0.250 0.810
0.219 0.750 0.652
0.781 0.250 0.348